The following is a PBE calculation of BaZrCr2 after structural relaxation, from Alexandria via LeMat-Bulk.

- V (Å³/cell) = 202.6
- E_form (eV/atom) = 0.703
- distance to the lowest polymorph of the same formula (meV/atom) = 137
- density (kg/m3) = 5451
- energy (eV/cell) = -53.814

Cell lengths 3.4033, 4.6378, 12.8365 Å; angles 90.00, 90.00, 90.00 degrees
Space group Imm2 (No. 44)
Inequivalent atoms, fractional coordinates:
Ba 0.0000 0.0000 0.0000
Zr 0.0000 0.5000 0.2327
Cr 0.0000 0.0000 0.3544
Cr 0.0000 0.5000 0.7430